# 1
Here is a geometry-optimized RbZnC3 structure from the Alexandria database. Energies are from PBE-GGA.

Computed properties:
For the spin magnetization, the calculation gives 7.00 μB per formula unit. The density of states at the Fermi level is 3.71 states/eV/atom. The calculated volume comes out at 39.101 A^3/atom. For the calculated formation energy, the calculation gives 20.7 eV per formula unit. Its space group is Pm-3m. Its relative energy among the computed polymorphs is 644.3 kJ/mol of formula units.

Cell: 5.804 5.804 5.804 Å, 90.00 90.00 90.00°
Each line ends with the local moment (μB).
Fractional positions:
Rb  0.000  0.000  0.000  0.11
C  0.000  0.500  0.000  1.04
Zn  0.500  0.500  0.500  -0.05
C  0.000  0.000  0.500  1.02
C  0.500  0.000  0.000  1.15

=====

# 2
Here is a geometry-optimized CrTcCl2 structure from the Alexandria database. Energies are from PBE-GGA.

Computed properties:
For the spin magnetization, the calculation gives 0.86 μB per formula unit. The density of states at the Fermi level is 0.19 states/eV/atom. The calculated volume comes out at 17.790 A^3/atom. The value obtained for the uncorrected formation energy is 2.61 eV/f.u. Its space group is F-43m. Its relative energy among the computed polymorphs is 325.7 kJ/mol of formula units.

Cell: 4.651 4.651 4.651 Å, 60.00 60.00 60.00°
Each line ends with the local moment (μB).
Fractional positions:
Cl  0.250  0.250  0.250  -0.06
Cl  0.000  0.000  0.000  0.02
Tc  0.750  0.750  0.750  -2.80
Cr  0.500  0.500  0.500  3.62

=====

# 3
Here is a geometry-optimized CaEuAl4 structure from the Alexandria database. Energies are from PBE-GGA.

Computed properties:
For the spin magnetization, the calculation gives 7.13 μB per formula unit. The density of states at the Fermi level is 1.58 states/eV/atom. The calculated volume comes out at 21.733 A^3/atom. For the calculated formation energy, the calculation gives -2.2 eV per formula unit. Its space group is F-43m.

Cell: 5.692 5.692 5.692 Å, 60.00 60.00 60.00°
Each line ends with the local moment (μB).
Fractional positions:
Ca  0.250  0.250  0.250  0.01
Al  0.625  0.625  0.124  0.00
Al  0.625  0.625  0.625  0.00
Eu  0.000  0.000  0.000  6.82
Al  0.625  0.124  0.625  0.00
Al  0.124  0.625  0.625  0.00

=====

# 4
Here is a geometry-optimized ZrZnCo2 structure from the Alexandria database. Energies are from PBE-GGA.

Computed properties:
For the spin magnetization, the calculation gives 0.00 μB per formula unit. The density of states at the Fermi level is 0.75 states/eV/atom. The calculated volume comes out at 14.776 A^3/atom. For the calculated formation energy, the calculation gives -0.3 eV per formula unit. Its space group is Amm2.

Cell: 3.663 3.500 4.931 Å, 69.22 90.00 90.00°
Fractional positions:
Zn  0.000  0.479  0.417
Co  0.500  0.049  0.277
Zr  0.500  0.778  0.819
Co  0.000  0.194  0.987

=====

# 5
Here is a geometry-optimized Be2TcIr structure from the Alexandria database. Energies are from PBE-GGA.

Computed properties:
For the spin magnetization, the calculation gives 0.00 μB per formula unit. The density of states at the Fermi level is 0.60 states/eV/atom. The calculated volume comes out at 12.004 A^3/atom. For the calculated formation energy, the calculation gives 0.8 eV per formula unit. Its space group is I-42d. Its relative energy among the computed polymorphs is 205.1 kJ/mol of formula units.

Cell: 5.984 5.984 5.010 Å, 53.33 53.33 90.00°
Fractional positions:
Be  0.118  0.625  0.250
Tc  0.250  0.750  0.500
Ir  0.000  0.000  0.000
Be  0.875  0.882  0.750
Tc  0.500  0.500  0.000
Be  0.632  0.125  0.250
Be  0.375  0.368  0.750
Ir  0.750  0.250  0.500

=====

# 6
Here is a geometry-optimized Ga2CuAuSe structure from the Alexandria database. Energies are from PBE-GGA.

Computed properties:
For the spin magnetization, the calculation gives 0.00 μB per formula unit. The density of states at the Fermi level is 0.31 states/eV/atom. The calculated volume comes out at 23.563 A^3/atom. The value obtained for the uncorrected formation energy is 1.22 eV/f.u. Its space group is P4/mmm. Its relative energy among the computed polymorphs is 0.0 kJ/mol of formula units.

Cell: 4.893 4.920 4.893 Å, 90.00 90.00 90.00°
Fractional positions:
Au  0.000  0.000  0.000
Ga  0.000  0.000  0.500
Cu  0.000  0.500  0.000
Ga  0.500  0.000  0.000
Se  0.500  0.500  0.500

=====

# 7
Here is a geometry-optimized CsW structure from the Alexandria database. Energies are from PBE-GGA.

Computed properties:
For the spin magnetization, the calculation gives 0.80 μB per formula unit. The density of states at the Fermi level is 0.92 states/eV/atom. The calculated volume comes out at 27.139 A^3/atom. For the calculated formation energy, the calculation gives 4.8 eV per formula unit. Its space group is P6_3mc. Its relative energy among the computed polymorphs is 224.3 kJ/mol of formula units.

Cell: 3.109 3.109 12.966 Å, 90.00 90.00 120.00°
Each line ends with the local moment (μB).
Fractional positions:
W  0.667  0.333  0.332  0.57
Cs  0.333  0.667  0.086  0.03
Cs  0.667  0.333  0.586  0.03
W  0.333  0.667  0.832  0.57

=====

# 8
Here is a geometry-optimized SbTeCl2 structure from the Alexandria database. Energies are from PBE-GGA.

Computed properties:
For the spin magnetization, the calculation gives 0.00 μB per formula unit. The density of states at the Fermi level is 0.50 states/eV/atom. The calculated volume comes out at 30.855 A^3/atom. The value obtained for the uncorrected formation energy is -0.80 eV/f.u. Its space group is Imm2. Its relative energy among the computed polymorphs is 127.7 kJ/mol of formula units.

Cell: 7.327 7.327 7.327 Å, 149.15 142.07 49.66°
Fractional positions:
Sb  0.444  0.444  0.000
Te  0.288  0.788  0.500
Cl  0.005  0.005  0.000
Cl  0.763  0.263  0.500

=====

# 9
Here is a geometry-optimized TiV2Se3 structure from the Alexandria database. Energies are from PBE-GGA.

Computed properties:
For the spin magnetization, the calculation gives 1.07 μB per formula unit. The density of states at the Fermi level is 0.91 states/eV/atom. The calculated volume comes out at 19.753 A^3/atom. The value obtained for the uncorrected formation energy is -3.75 eV/f.u. Its space group is C2/m.

Cell: 3.449 7.105 9.833 Å, 92.40 100.10 90.00°
Each line ends with the local moment (μB).
Fractional positions:
Se  0.089  0.847  0.178  -0.01
V  0.292  0.552  0.584  0.00
Se  0.418  0.626  0.835  -0.02
Se  0.752  0.786  0.504  0.00
Se  0.248  0.214  0.496  0.00
V  0.962  0.840  0.923  0.87
Ti  0.351  0.937  0.703  0.04
V  0.708  0.448  0.416  0.00
Ti  0.649  0.063  0.297  0.04
Se  0.582  0.374  0.165  -0.02
Se  0.911  0.153  0.822  -0.01
V  0.038  0.160  0.077  0.87

=====

# 10
Here is a geometry-optimized RbCeTeO6 structure from the Alexandria database. Energies are from PBE-GGA.

Computed properties:
For the spin magnetization, the calculation gives 1.09 μB per formula unit. The density of states at the Fermi level is 0.85 states/eV/atom. The calculated volume comes out at 19.738 A^3/atom. The value obtained for the uncorrected formation energy is -15.64 eV/f.u. Its space group is P312.

Cell: 5.781 5.781 6.138 Å, 90.00 90.00 60.00°
Each line ends with the local moment (μB).
Fractional positions:
O  0.364  0.595  0.320  0.15
O  0.364  0.040  0.680  0.15
O  0.595  0.364  0.680  0.15
Te  0.333  0.333  0.500  -0.02
O  0.040  0.595  0.680  0.15
Ce  0.667  0.667  0.500  0.01
O  0.040  0.364  0.320  0.15
Rb  0.000  0.000  0.000  0.00
O  0.595  0.040  0.320  0.15

=====

# 11
Here is a geometry-optimized BeRuW2 structure from the Alexandria database. Energies are from PBE-GGA.

Computed properties:
For the spin magnetization, the calculation gives 0.00 μB per formula unit. The density of states at the Fermi level is 0.96 states/eV/atom. The calculated volume comes out at 13.770 A^3/atom. For the calculated formation energy, the calculation gives 0.5 eV per formula unit. Its space group is P4/mmm. Its relative energy among the computed polymorphs is 35.9 kJ/mol of formula units.

Cell: 2.754 2.755 7.259 Å, 90.00 90.00 90.06°
Fractional positions:
W  0.000  0.000  0.018
W  0.000  0.000  0.482
Ru  0.500  0.500  0.750
Be  0.500  0.500  0.250

=====

# 12
Here is a geometry-optimized VFe2NiCl structure from the Alexandria database. Energies are from PBE-GGA.

Computed properties:
For the spin magnetization, the calculation gives 4.50 μB per formula unit. The density of states at the Fermi level is 1.00 states/eV/atom. The calculated volume comes out at 18.170 A^3/atom. The value obtained for the uncorrected formation energy is 4.58 eV/f.u. Its space group is P4/mmm.

Cell: 4.481 4.525 4.481 Å, 90.00 90.00 90.00°
Each line ends with the local moment (μB).
Fractional positions:
Fe  0.000  0.000  0.500  -3.44
V  0.000  0.500  0.000  2.19
Cl  0.500  0.500  0.500  -0.09
Ni  0.000  0.000  0.000  -0.54
Fe  0.500  0.000  0.000  -2.91